## one
A relaxed structure of SrP2RuCl, computed with PBE.

The structure belongs to space group P4/mmm (No. 123); the cell edges are 5.604, 5.604 and 5.284 Å and the angles 90.00°, 90.00° and 90.00°. The inequivalent atoms are Sr at (0.000, 0.000, 0.000), P at (0.000, 0.500, 0.000), Ru at (0.500, 0.500, 0.500) and Cl at (0.000, 0.000, 0.500).

=====

## two
A relaxed structure of SrP2RuCl, computed with PBE.

The structure belongs to space group P4/mmm (No. 123); the cell edges are 4.534, 4.534 and 5.504 Å and the angles 90.00°, 90.00° and 90.00°. The inequivalent atoms are Sr at (0.000, 0.000, 0.000), P at (0.000, 0.500, 0.500), Ru at (0.500, 0.500, 0.500) and Cl at (0.500, 0.500, 0.000).

=====

Least stable = one

=====

## one
A relaxed structure of TcPRuCl2, computed with PBE.

The structure belongs to space group P4/mmm (No. 123); the cell edges are 4.877, 4.877 and 4.508 Å and the angles 90.00°, 90.00° and 90.00°. The inequivalent atoms are Tc at (0.000, 0.000, 0.000), P at (0.500, 0.500, 0.000), Ru at (0.500, 0.500, 0.500) and Cl at (0.000, 0.500, 0.500).

=====

## two
A relaxed structure of TcPRuCl2, computed with PBE.

The structure belongs to space group P4/mmm (No. 123); the cell edges are 4.876, 4.876 and 4.557 Å and the angles 90.00°, 90.00° and 90.00°. The inequivalent atoms are Tc at (0.000, 0.000, 0.000), P at (0.000, 0.000, 0.500), Ru at (0.500, 0.500, 0.500) and Cl at (0.000, 0.500, 0.000).

=====

Least stable = two

=====

## one
A relaxed structure of TcP2RuCl, computed with PBE.

The structure belongs to space group P4/mmm (No. 123); the cell edges are 4.537, 4.537 and 4.912 Å and the angles 90.00°, 90.00° and 90.00°. The inequivalent atoms are Tc at (0.000, 0.000, 0.000), P at (0.000, 0.500, 0.000), Ru at (0.500, 0.500, 0.500) and Cl at (0.000, 0.000, 0.500).

=====

## two
A relaxed structure of TcP2RuCl, computed with PBE.

The structure belongs to space group P4/mmm (No. 123); the cell edges are 4.533, 4.533 and 4.912 Å and the angles 90.00°, 90.00° and 90.00°. The inequivalent atoms are Tc at (0.000, 0.000, 0.000), P at (0.000, 0.500, 0.500), Ru at (0.500, 0.500, 0.500) and Cl at (0.500, 0.500, 0.000).

=====

Least stable = one

=====

## one
A relaxed structure of TePRuCl2, computed with PBE.

The structure belongs to space group P4/mmm (No. 123); the cell edges are 5.355, 5.355 and 5.036 Å and the angles 90.00°, 90.00° and 90.00°. The inequivalent atoms are Te at (0.000, 0.000, 0.000), P at (0.000, 0.000, 0.500), Ru at (0.500, 0.500, 0.500) and Cl at (0.000, 0.500, 0.000).

=====

## two
A relaxed structure of TePRuCl2, computed with PBE.

The structure belongs to space group P4/mmm (No. 123); the cell edges are 4.753, 4.753 and 4.703 Å and the angles 90.00°, 90.00° and 90.00°. The inequivalent atoms are Te at (0.000, 0.000, 0.000), P at (0.500, 0.500, 0.000), Ru at (0.500, 0.500, 0.500) and Cl at (0.000, 0.500, 0.500).

=====

Least stable = one

=====

## one
A relaxed structure of TiPRuCl2, computed with PBE.

The structure belongs to space group P4/mmm (No. 123); the cell edges are 4.584, 4.584 and 5.087 Å and the angles 90.00°, 90.00° and 90.00°. The inequivalent atoms are Ti at (0.000, 0.000, 0.000), P at (0.000, 0.000, 0.500), Ru at (0.500, 0.500, 0.500) and Cl at (0.000, 0.500, 0.000).

=====

## two
A relaxed structure of TiPRuCl2, computed with PBE.

The structure belongs to space group P4/mmm (No. 123); the cell edges are 4.790, 4.790 and 4.548 Å and the angles 90.00°, 90.00° and 90.00°. The inequivalent atoms are Ti at (0.000, 0.000, 0.000), P at (0.500, 0.500, 0.000), Ru at (0.500, 0.500, 0.500) and Cl at (0.000, 0.500, 0.500).

=====

Least stable = two

=====

## one
A relaxed structure of ZnP2RuCl, computed with PBE.

The structure belongs to space group P4/mmm (No. 123); the cell edges are 4.572, 4.572 and 4.803 Å and the angles 90.00°, 90.00° and 90.00°. The inequivalent atoms are Zn at (0.000, 0.000, 0.000), P at (0.000, 0.500, 0.000), Ru at (0.500, 0.500, 0.500) and Cl at (0.000, 0.000, 0.500).

=====

## two
A relaxed structure of ZnP2RuCl, computed with PBE.

The structure belongs to space group P4/mmm (No. 123); the cell edges are 4.522, 4.522 and 5.134 Å and the angles 90.00°, 90.00° and 90.00°. The inequivalent atoms are Zn at (0.000, 0.000, 0.000), P at (0.000, 0.500, 0.500), Ru at (0.500, 0.500, 0.500) and Cl at (0.500, 0.500, 0.000).

=====

Least stable = one

=====

## one
A relaxed structure of ZnPRuCl2, computed with PBE.

The structure belongs to space group P4/mmm (No. 123); the cell edges are 4.583, 4.583 and 5.179 Å and the angles 90.00°, 90.00° and 90.00°. The inequivalent atoms are Zn at (0.000, 0.000, 0.000), P at (0.000, 0.000, 0.500), Ru at (0.500, 0.500, 0.500) and Cl at (0.000, 0.500, 0.000).

=====

## two
A relaxed structure of ZnPRuCl2, computed with PBE.

The structure belongs to space group P4/mmm (No. 123); the cell edges are 4.921, 4.921 and 4.504 Å and the angles 90.00°, 90.00° and 90.00°. The inequivalent atoms are Zn at (0.000, 0.000, 0.000), P at (0.500, 0.500, 0.000), Ru at (0.500, 0.500, 0.500) and Cl at (0.000, 0.500, 0.500).

=====

Least stable = one

=====

## one
A relaxed structure of P2S2Cl, computed with PBE.

The structure belongs to space group P4/mmm (No. 123); the cell edges are 4.683, 4.683 and 4.513 Å and the angles 90.00°, 90.00° and 90.00°. The inequivalent atoms are P at (0.000, 0.500, 0.000), S at (0.000, 0.000, 0.000), S at (0.000, 0.000, 0.500) and Cl at (0.500, 0.500, 0.500).

=====

## two
A relaxed structure of P2S2Cl, computed with PBE.

The structure belongs to space group I4/mmm (No. 139); the cell edges are 4.214, 4.214 and 11.023 Å and the angles 90.00°, 90.00° and 90.00°. The inequivalent atoms are P at (0.000, 0.000, 0.157), S at (0.000, 0.500, 0.250) and Cl at (0.000, 0.000, 0.500).

=====

## three
A relaxed structure of P2S2Cl, computed with PBE.

The structure belongs to space group P4/mbm (No. 127); the cell edges are 8.178, 8.178 and 3.183 Å and the angles 90.00°, 90.00° and 90.00°. The inequivalent atoms are P at (0.236, 0.264, 0.000), S at (0.143, 0.643, 0.500) and Cl at (0.000, 0.000, 0.000).

=====

## four
A relaxed structure of P2S2Cl, computed with PBE.

The structure belongs to space group P4/mmm (No. 123); the cell edges are 4.385, 4.385 and 4.968 Å and the angles 90.00°, 90.00° and 90.00°. The inequivalent atoms are P at (0.000, 0.000, 0.000), P at (0.000, 0.000, 0.500), S at (0.000, 0.500, 0.000) and Cl at (0.500, 0.500, 0.500).

=====

Least stable = one